## Tc2Cl3O4 (GGA-PBE)

Data for a relaxed Tc2Cl3O4 crystal.

Properties
Total DFT energy (no corrections)   -6.069 eV per atom
Uncorrected formation energy   -0.9465 eV/atom
Magnetization   0.0 μB/cell
Space group   C2/c

The structure in extended XYZ format:
```
18
Lattice="7.602 -4.400 0.000 7.602 4.400 0.000 -2.042 0.000 5.215" Properties=species:S:1:pos:R:3 pbc="T T T"
Tc 1.962 1.247 1.727
Tc 0.941 -1.247 4.334
Tc 12.222 1.247 0.881
Tc 11.201 -1.247 3.489
Cl 6.071 3.466 3.911
Cl 3.799 1.587 5.159
Cl 8.343 1.587 2.664
Cl 4.820 -1.587 2.551
Cl 9.363 -1.587 0.057
Cl 7.092 -3.466 1.304
O 3.708 1.653 2.204
O 1.541 0.042 3.085
O 2.562 -0.042 0.478
O 2.688 -1.653 4.811
O 10.475 1.653 0.404
O 10.601 0.042 4.737
O 11.621 -0.042 2.130
O 9.454 -1.653 3.011
```